No. 1
Entry from Alexandria: a relaxed structure of TiCoB2 (PBE-GGA).

The structure in POSCAR format:
```
TiCoB2
1.0
-2.900 -1.636 1.692
-1.773 1.754 2.779
-3.455 1.317 -0.526
B Co Ti
2 1 1
Direct
0.250 0.250 0.250
0.750 0.750 0.750
0.500 0.500 0.500
0.000 0.000 0.000
```

DFT formation energy: -0.026 eV per atom

=====

No. 2
Entry from Alexandria: a relaxed structure of Ti2Co21B6 (PBE-GGA).

The structure in POSCAR format:
```
Ti2Co21B6
1.0
-1.003 -5.528 -4.806
-0.347 -6.980 2.414
-6.430 -3.648 -0.149
Co B Ti
21 6 2
Direct
0.000 0.662 0.000
0.000 0.338 0.000
0.338 0.000 0.662
0.618 0.618 0.147
0.338 0.000 0.000
0.000 0.000 0.338
0.000 0.338 0.662
0.662 0.000 0.338
0.147 0.618 0.618
0.382 0.853 0.382
0.662 0.000 0.000
0.000 0.000 0.662
0.382 0.382 0.853
0.000 0.662 0.338
0.382 0.382 0.382
0.618 0.618 0.618
0.338 0.662 0.000
0.662 0.338 0.000
0.000 0.000 0.000
0.618 0.147 0.618
0.853 0.382 0.382
0.725 0.275 0.725
0.725 0.275 0.275
0.275 0.275 0.725
0.275 0.725 0.275
0.725 0.725 0.275
0.275 0.725 0.725
0.750 0.750 0.750
0.250 0.250 0.250
```

DFT formation energy: -0.295 eV per atom

=====

No. 3
Entry from Alexandria: a relaxed structure of TiCo2B2 (PBE-GGA).

The structure in POSCAR format:
```
TiCo2B2
1.0
-3.525 4.534 1.864
-1.920 0.836 -5.664
-1.892 -1.635 0.400
Co B Ti
4 4 2
Direct
0.182 0.682 0.500
0.682 0.818 0.500
0.818 0.318 0.500
0.318 0.182 0.500
0.393 0.893 0.000
0.107 0.393 0.000
0.607 0.107 0.000
0.893 0.607 0.000
0.000 0.000 0.000
0.500 0.500 0.000
```

DFT formation energy: -0.279 eV per atom

=====

No. 4
Entry from Alexandria: a relaxed structure of Ti2CoB (PBE-GGA).

The structure in POSCAR format:
```
Ti2CoB
1.0
3.131 0.000 0.000
0.000 3.915 0.000
0.000 0.000 3.915
Ti Co B
2 1 1
Direct
0.000 0.500 0.000
0.000 0.000 0.500
0.500 0.500 0.500
0.500 0.000 0.000
```

DFT formation energy: -0.221 eV per atom

=====

No. 5
Entry from Alexandria: a relaxed structure of Ti2CoB (PBE-GGA).

The structure in POSCAR format:
```
Ti2CoB
1.0
-1.941 -1.293 7.488
-6.407 -3.876 -2.330
-3.195 -4.190 2.555
B Ti Co
2 4 2
Direct
0.500 0.500 0.000
0.250 0.750 0.500
0.375 0.520 0.750
0.270 0.625 0.250
0.875 0.730 0.750
0.480 0.125 0.250
0.750 0.250 0.500
0.000 0.000 0.000
```

DFT formation energy: 0.045 eV per atom

=====

No. 6
Entry from Alexandria: a relaxed structure of TiCo2B (PBE-GGA).

The structure in POSCAR format:
```
TiCo2B
1.0
-2.607 -1.555 -0.890
2.011 -2.216 -2.018
0.369 -2.229 2.815
Ti Co B
1 2 1
Direct
0.500 0.000 0.000
0.000 0.000 0.500
0.000 0.500 0.000
0.500 0.500 0.500
```

DFT formation energy: -0.165 eV per atom

=====

No. 7
Entry from Alexandria: a relaxed structure of YTiCoB2 (PBE-GGA).

The structure in POSCAR format:
```
YTiCoB2
1.0
-1.390 0.245 -4.177
2.278 -4.118 -0.999
-3.626 -2.267 1.074
Y Ti B Co
1 1 2 1
Direct
0.000 0.000 0.000
0.000 0.500 0.000
0.500 0.000 0.000
0.000 0.000 0.500
0.500 0.500 0.500
```

DFT formation energy: 2.483 eV per atom

=====

No. 8
Entry from Alexandria: a relaxed structure of YTiCo2B (PBE-GGA).

The structure in POSCAR format:
```
YTiCo2B
1.0
3.927 0.000 0.000
0.000 4.717 0.000
0.000 0.000 3.927
Y B Co Ti
1 1 2 1
Direct
0.000 0.500 0.000
0.000 0.000 0.000
0.500 0.000 0.000
0.000 0.000 0.500
0.500 0.500 0.500
```

DFT formation energy: 0.232 eV per atom

=====

No. 9
Entry from Alexandria: a relaxed structure of Ti2ZnCo5B2 (PBE-GGA).

The structure in POSCAR format:
```
Ti2ZnCo5B2
1.0
-2.323 -1.507 1.049
4.250 -7.250 -1.007
3.081 0.716 7.850
Co B Ti Zn
10 4 4 2
Direct
0.500 0.500 0.000
0.500 0.429 0.280
0.500 0.571 0.720
0.500 0.929 0.220
0.500 0.220 0.071
0.500 0.000 0.500
0.500 0.780 0.929
0.500 0.280 0.571
0.500 0.071 0.780
0.500 0.720 0.429
0.000 0.122 0.622
0.000 0.878 0.378
0.000 0.378 0.122
0.000 0.622 0.878
0.000 0.676 0.176
0.000 0.176 0.324
0.000 0.324 0.824
0.000 0.824 0.676
0.000 0.000 0.000
0.000 0.500 0.500
```

DFT formation energy: -0.511 eV per atom

=====

No. 10
Entry from Alexandria: a relaxed structure of TlCoB2 (PBE-GGA).

The structure in POSCAR format:
```
TlCoB2
1.0
-0.039 2.747 2.990
-1.981 3.510 -0.493
-3.425 0.705 2.064
Tl B Co
1 2 1
Direct
0.500 0.500 0.500
0.250 0.250 0.250
0.750 0.750 0.750
0.000 0.000 0.000
```

DFT formation energy: 1.588 eV per atom
Polymorph energy (0 for the lowest one): 1025.6 meV per atom

=====

No. 11
Entry from Alexandria: a relaxed structure of Tl2CoB (PBE-GGA).

The structure in POSCAR format:
```
Tl2CoB
1.0
6.832 0.000 0.000
0.000 6.832 0.000
3.416 3.416 3.289
Tl Co B
4 2 2
Direct
0.375 0.405 0.750
0.595 0.125 0.250
0.155 0.625 0.250
0.875 0.845 0.750
0.750 0.250 0.500
0.000 0.000 0.000
0.250 0.750 0.500
0.500 0.500 0.000
```

DFT formation energy: 1.249 eV per atom
Polymorph energy (0 for the lowest one): 0.0 meV per atom

=====

No. 12
Entry from Alexandria: a relaxed structure of Tl2Co2B (PBE-GGA).

The structure in POSCAR format:
```
Tl2Co2B
1.0
-1.342 -1.645 7.279
5.668 -5.036 -0.093
1.963 2.194 0.858
Co Tl B
4 4 2
Direct
0.106 0.606 0.500
0.394 0.106 0.500
0.894 0.394 0.500
0.606 0.894 0.500
0.188 0.312 0.000
0.312 0.812 0.000
0.688 0.188 0.000
0.812 0.688 0.000
0.500 0.500 0.000
0.000 0.000 0.000
```

DFT formation energy: 1.255 eV per atom
Polymorph energy (0 for the lowest one): 209.6 meV per atom

=====

No. 13
Entry from Alexandria: a relaxed structure of TlCoB3 (PBE-GGA).

The structure in POSCAR format:
```
TlCoB3
1.0
4.482 0.000 0.000
0.000 4.482 0.000
0.000 0.000 4.482
B Tl Co
3 1 1
Direct
0.500 0.000 0.000
0.000 0.000 0.500
0.000 0.500 0.000
0.000 0.000 0.000
0.500 0.500 0.500
```

DFT formation energy: 2.923 eV per atom
Polymorph energy (0 for the lowest one): 1878.3 meV per atom

=====

No. 14
Entry from Alexandria: a relaxed structure of Tl2Co2B (PBE-GGA).

The structure in POSCAR format:
```
Tl2Co2B
1.0
3.297 0.000 0.000
0.000 3.297 0.000
1.648 1.648 8.022
Co Tl B
2 2 1
Direct
0.250 0.750 0.500
0.750 0.250 0.500
0.397 0.397 0.205
0.603 0.603 0.795
0.000 0.000 0.000
```

DFT formation energy: 1.045 eV per atom
Polymorph energy (0 for the lowest one): 0.0 meV per atom

=====

No. 15
Entry from Alexandria: a relaxed structure of TlCoB3 (PBE-GGA).

The structure in POSCAR format:
```
TlCoB3
1.0
3.983 0.000 0.000
0.000 3.983 0.000
0.000 0.000 3.983
B Tl Co
3 1 1
Direct
0.500 0.000 0.000
0.000 0.500 0.000
0.000 0.000 0.500
0.500 0.500 0.500
0.000 0.000 0.000
```

DFT formation energy: 1.045 eV per atom
Polymorph energy (0 for the lowest one): 0.0 meV per atom

=====

No. 16
Entry from Alexandria: a relaxed structure of Tl3CoB (PBE-GGA).

The structure in POSCAR format:
```
Tl3CoB
1.0
5.026 0.000 0.000
0.000 5.026 0.000
0.000 0.000 5.026
B Tl Co
1 3 1
Direct
0.500 0.500 0.500
0.500 0.000 0.000
0.000 0.500 0.000
0.000 0.000 0.500
0.000 0.000 0.000
```

DFT formation energy: 1.100 eV per atom
Polymorph energy (0 for the lowest one): 0.0 meV per atom

=====

No. 17
Entry from Alexandria: a relaxed structure of TlCoB2 (PBE-GGA).

The structure in POSCAR format:
```
TlCoB2
1.0
3.752 0.000 0.000
0.000 3.752 0.000
1.876 1.876 7.164
Co B Tl
2 4 2
Direct
0.500 0.500 0.000
0.250 0.750 0.500
0.375 0.625 0.250
0.375 0.125 0.250
0.875 0.625 0.750
0.375 0.625 0.750
0.750 0.250 0.500
0.000 0.000 0.000
```

DFT formation energy: 0.562 eV per atom
Polymorph energy (0 for the lowest one): 0.0 meV per atom

=====

No. 18
Entry from Alexandria: a relaxed structure of Tl2CoB (PBE-GGA).

The structure in POSCAR format:
```
Tl2CoB
1.0
-4.458 -0.113 1.318
-3.210 2.294 -2.461
-3.113 -2.354 -2.528
Tl B Co
2 1 1
Direct
0.250 0.250 0.250
0.750 0.750 0.750
0.000 0.000 0.000
0.500 0.500 0.500
```

DFT formation energy: 1.312 eV per atom
Polymorph energy (0 for the lowest one): 63.0 meV per atom

=====

No. 19
Entry from Alexandria: a relaxed structure of Tl3CoB (PBE-GGA).

The structure in POSCAR format:
```
Tl3CoB
1.0
-3.216 -1.491 3.387
-1.118 -3.887 -2.772
3.528 -2.590 2.209
Tl Co B
3 1 1
Direct
0.000 0.000 0.500
0.500 0.000 0.000
0.000 0.500 0.000
0.500 0.500 0.500
0.000 0.000 0.000
```

DFT formation energy: 1.168 eV per atom
Polymorph energy (0 for the lowest one): 68.0 meV per atom

=====

No. 20
Entry from Alexandria: a relaxed structure of Tl2ZnCoB (PBE-GGA).

The structure in POSCAR format:
```
Tl2ZnCoB
1.0
-0.031 -4.597 -1.931
4.612 -0.125 0.223
-0.275 -1.926 4.591
Tl Zn B Co
2 1 1 1
Direct
0.000 0.000 0.500
0.500 0.000 0.000
0.000 0.500 0.000
0.500 0.500 0.500
0.000 0.000 0.000
```

DFT formation energy: 1.131 eV per atom

=====

No. 21
Entry from Alexandria: a relaxed structure of Tm2Co3B4 (PBE-GGA).

The structure in POSCAR format:
```
Tm2Co3B4
1.0
-4.711 -1.584 -0.450
3.838 -3.170 -0.350
0.237 1.605 5.204
B Co Tm
4 3 2
Direct
0.047 0.627 0.674
0.627 0.047 0.674
0.953 0.373 0.326
0.373 0.953 0.326
0.000 0.500 0.000
0.000 0.000 0.000
0.500 0.000 0.000
0.351 0.351 0.701
0.649 0.649 0.299
```

DFT formation energy: -0.130 eV per atom

=====

No. 22
Entry from Alexandria: a relaxed structure of TmCo6B (PBE-GGA).

The structure in POSCAR format:
```
TmCo6B
1.0
3.608 0.000 0.000
0.000 3.608 0.000
0.000 0.000 7.613
Co Tm B
6 1 1
Direct
0.500 0.500 0.849
0.000 0.500 0.346
0.000 0.500 0.654
0.500 0.000 0.346
0.500 0.500 0.151
0.500 0.000 0.654
0.000 0.000 0.000
0.000 0.000 0.500
```

DFT formation energy: -0.010 eV per atom

=====

No. 23
Entry from Alexandria: a relaxed structure of Tm2Co3B (PBE-GGA).

The structure in POSCAR format:
```
Tm2Co3B
1.0
-0.691 3.052 -0.153
-3.015 -0.507 3.490
6.435 -0.028 2.471
Co B Tm
3 1 2
Direct
0.598 0.598 0.195
0.000 0.000 0.000
0.402 0.402 0.805
0.000 0.500 0.000
0.682 0.182 0.364
0.318 0.818 0.636
```

DFT formation energy: 0.119 eV per atom

=====

No. 24
Entry from Alexandria: a relaxed structure of TmCoB (PBE-GGA).

The structure in POSCAR format:
```
TmCoB
1.0
-1.705 1.781 1.946
-4.148 -2.233 -1.595
2.844 -3.763 3.401
B Tm Co
2 2 2
Direct
0.229 0.901 0.459
0.771 0.099 0.541
0.111 0.305 0.223
0.889 0.695 0.777
0.611 0.763 0.222
0.389 0.237 0.778
```

DFT formation energy: -0.396 eV per atom
Polymorph energy (0 for the lowest one): 110.7 meV per atom

=====

No. 25
Entry from Alexandria: a relaxed structure of Tm3Co4B2 (PBE-GGA).

The structure in POSCAR format:
```
Tm3Co4B2
1.0
3.447 0.000 0.000
-1.723 4.924 0.195
0.000 -1.829 7.682
Co B Tm
4 2 3
Direct
0.269 0.538 0.910
0.104 0.207 0.657
0.896 0.793 0.343
0.731 0.462 0.090
0.319 0.638 0.207
0.681 0.362 0.793
0.384 0.768 0.622
0.616 0.232 0.378
0.000 0.000 0.000
```

DFT formation energy: -0.284 eV per atom